Here is SbPtPb2 after structural relaxation from the Alexandria database. Energies are from PBE.

## Properties
The total energy comes out at -4.2635 eV per atom. For the uncorrected formation energy, the calculation gives 0.132 eV per atom. As for the density of states at the Fermi level: 0.60 states/eV/atom. The volume comes out at 571 Å³ per cell.

Cell and atoms, written as CIF:
```
data_SbPtPb2
_cell_length_a 6.475
_cell_length_b 6.475
_cell_length_c 13.623
_cell_angle_alpha 90.00
_cell_angle_beta 90.00
_cell_angle_gamma 90.00
_space_group_name_H-M_alt 'I -4 2 d'
_space_group_IT_number 122
_space_group_name_Hall 'I -4 2bw'
loop_
_atom_site_label
_atom_site_type_symbol
_atom_site_fract_x
_atom_site_fract_y
_atom_site_fract_z
_atom_site_occupancy
Sb1 Sb 0.000 0.000 0.000 1
Pt1 Pt 0.000 0.000 0.500 1
Pb1 Pb 0.206 0.250 0.625 1
```